Record 1
Compound: HfNbP2S
Source: the Alexandria database
Functional: GGA-PBE
Structure: optimized geometry

VASP energy (eV per cell): -32.9
ΔE to the lowest computed polymorph (meV/atom): 180
Calculated volume (A^3/atom): 23.17
Energy relative to the elements, uncorrected (meV/atom): 422
Space-group type: No. 123
N(E_F) (states/eV/cell): 4.02

```
data_HfNbP2S
_cell_length_a 4.9121
_cell_length_b 4.9121
_cell_length_c 4.8004
_cell_angle_alpha 90.00
_cell_angle_beta 90.00
_cell_angle_gamma 90.00
_symmetry_space_group_name_H-M 'P 1'
_symmetry_Int_Tables_number 1
loop_
_symmetry_equiv_pos_as_xyz
'x,y,z'
loop_
_atom_site_label
_atom_site_fract_x
_atom_site_fract_y
_atom_site_fract_z
P1 0.5000 0.0000 0.0000
P2 0.0000 0.5000 0.0000
S1 0.0000 0.0000 0.5000
Nb1 0.5000 0.5000 0.5000
Hf1 0.0000 0.0000 0.0000
```

***

Record 2
Compound: CaGe2Ru
Source: the Alexandria database
Functional: GGA-PBE
Structure: optimized geometry

VASP energy (eV per cell): -22.1
ΔE_f (eV/atom): -0.3933
Calculated volume (A^3/atom): 19.66
Space-group type: No. 166
N(E_F) (states/eV/cell): 3.12

```
data_CaGe2Ru
_cell_length_a 4.1897
_cell_length_b 4.1897
_cell_length_c 5.7114
_cell_angle_alpha 68.48
_cell_angle_beta 68.48
_cell_angle_gamma 60.00
_symmetry_space_group_name_H-M 'P 1'
_symmetry_Int_Tables_number 1
loop_
_symmetry_equiv_pos_as_xyz
'x,y,z'
loop_
_atom_site_label
_atom_site_fract_x
_atom_site_fract_y
_atom_site_fract_z
Ge1 0.2830 0.2830 0.1511
Ge2 0.7170 0.7170 0.8489
Ru1 0.0000 0.0000 0.0000
Ca1 0.5000 0.5000 0.5000
```

***

Record 3
Compound: BaFeOs2
Source: the Alexandria database
Functional: GGA-PBE
Structure: optimized geometry

VASP energy (eV per cell): -28.1
ΔE to the lowest computed polymorph (meV/atom): 843
ΔE_f (eV/atom): 1.1808
Calculated volume (A^3/atom): 20.68
Space-group type: No. 44
N(E_F) (states/eV/cell): 4.50

```
data_BaFeOs2
_cell_length_a 5.9156
_cell_length_b 5.9156
_cell_length_c 5.9156
_cell_angle_alpha 150.76
_cell_angle_beta 124.33
_cell_angle_gamma 64.12
_symmetry_space_group_name_H-M 'P 1'
_symmetry_Int_Tables_number 1
loop_
_symmetry_equiv_pos_as_xyz
'x,y,z'
loop_
_atom_site_label
_atom_site_fract_x
_atom_site_fract_y
_atom_site_fract_z
Fe1 0.2001 0.7001 0.5000
Os1 0.0022 0.0022 0.0000
Os2 0.7981 0.2981 0.5000
Ba1 0.4996 0.4996 0.0000
```

***

Record 4
Compound: BaUS2N
Source: the Alexandria database
Functional: GGA-PBE
Structure: optimized geometry

VASP energy (eV per cell): -37.8
Calculated volume (A^3/atom): 23.98
Energy relative to the elements, uncorrected (meV/atom): -1605
Space-group type: No. 123
N(E_F) (states/eV/cell): 6.11

```
data_BaUS2N
_cell_length_a 5.3974
_cell_length_b 5.3975
_cell_length_c 4.1151
_cell_angle_alpha 90.00
_cell_angle_beta 90.00
_cell_angle_gamma 90.00
_symmetry_space_group_name_H-M 'P 1'
_symmetry_Int_Tables_number 1
loop_
_symmetry_equiv_pos_as_xyz
'x,y,z'
loop_
_atom_site_label
_atom_site_fract_x
_atom_site_fract_y
_atom_site_fract_z
Ba1 0.5000 0.5000 0.5003
S1 0.5000 0.0000 0.9998
S2 0.0000 0.5000 0.9998
U1 0.0000 0.0000 0.0001
N1 0.0000 0.0000 0.5000
```

***

Record 5
Compound: NbHgC3
Source: the Alexandria database
Functional: GGA-PBE
Structure: optimized geometry

VASP energy (eV per cell): -21.8
ΔE to the lowest computed polymorph (meV/atom): 1210
ΔE_f (eV/atom): 3.2558
Calculated volume (A^3/atom): 14.21
Space-group type: No. 221
N(E_F) (states/eV/cell): 4.25

```
data_NbHgC3
_cell_length_a 4.1415
_cell_length_b 4.1415
_cell_length_c 4.1415
_cell_angle_alpha 90.00
_cell_angle_beta 90.00
_cell_angle_gamma 90.00
_symmetry_space_group_name_H-M 'P 1'
_symmetry_Int_Tables_number 1
loop_
_symmetry_equiv_pos_as_xyz
'x,y,z'
loop_
_atom_site_label
_atom_site_fract_x
_atom_site_fract_y
_atom_site_fract_z
C1 0.0000 0.5000 0.0000
C2 0.0000 0.0000 0.5000
C3 0.5000 0.0000 0.0000
Hg1 0.0000 0.0000 0.0000
Nb1 0.5000 0.5000 0.5000
```

***

Record 6
Compound: PrLuSc
Source: the Alexandria database
Functional: GGA-PBE
Structure: optimized geometry

VASP energy (eV per cell): -15.5
ΔE to the lowest computed polymorph (meV/atom): 0
ΔE_f (eV/atom): 0.0581
Calculated volume (A^3/atom): 29.92
Space-group type: No. 107
N(E_F) (states/eV/cell): 4.88

```
data_PrLuSc
_cell_length_a 3.4976
_cell_length_b 3.4976
_cell_length_c 7.7435
_cell_angle_alpha 103.05
_cell_angle_beta 103.05
_cell_angle_gamma 90.00
_symmetry_space_group_name_H-M 'P 1'
_symmetry_Int_Tables_number 1
loop_
_symmetry_equiv_pos_as_xyz
'x,y,z'
loop_
_atom_site_label
_atom_site_fract_x
_atom_site_fract_y
_atom_site_fract_z
Pr1 0.3293 0.3293 0.6585
Lu1 0.0072 0.0072 0.0145
Sc1 0.6635 0.6635 0.3270
```

***

Record 7
Compound: P2C
Source: the Alexandria database
Functional: GGA-PBE
Structure: optimized geometry

VASP energy (eV per cell): -30.7
ΔE to the lowest computed polymorph (meV/atom): 1131
ΔE_f (eV/atom): 1.5610
Calculated volume (A^3/atom): 17.30
Space-group type: No. 141
N(E_F) (states/eV/cell): 1.70

```
data_P2C
_cell_length_a 12.6703
_cell_length_b 12.6703
_cell_length_c 12.6703
_cell_angle_alpha 166.94
_cell_angle_beta 166.94
_cell_angle_gamma 18.51
_symmetry_space_group_name_H-M 'P 1'
_symmetry_Int_Tables_number 1
loop_
_symmetry_equiv_pos_as_xyz
'x,y,z'
loop_
_atom_site_label
_atom_site_fract_x
_atom_site_fract_y
_atom_site_fract_z
C1 0.0000 0.0000 0.0000
C2 0.7500 0.2500 0.5000
P1 0.2085 0.7085 0.5000
P2 0.4585 0.4585 0.0000
P3 0.5415 0.5415 0.0000
P4 0.2915 0.7915 0.5000
```

***

Record 8
Compound: TbCuO3
Source: the Alexandria database
Functional: GGA-PBE
Structure: optimized geometry

VASP energy (eV per cell): -135.7
Calculated volume (A^3/atom): 12.55
Energy relative to the elements, uncorrected (meV/atom): -2067
Space-group type: No. 57

```
data_TbCuO3
_cell_length_a 3.8107
_cell_length_b 5.3355
_cell_length_c 12.3439
_cell_angle_alpha 90.00
_cell_angle_beta 90.00
_cell_angle_gamma 90.00
_symmetry_space_group_name_H-M 'P 1'
_symmetry_Int_Tables_number 1
loop_
_symmetry_equiv_pos_as_xyz
'x,y,z'
loop_
_atom_site_label
_atom_site_fract_x
_atom_site_fract_y
_atom_site_fract_z
O1 0.7437 0.5104 0.4192
O2 0.8462 0.5000 0.7500
O3 0.7437 0.9896 0.4192
O4 0.7437 0.0104 0.0808
O5 0.2563 0.5104 0.9192
O6 0.1538 0.5000 0.2500
O7 0.8462 0.0000 0.7500
O8 0.2563 0.9896 0.9192
O9 0.1538 0.0000 0.2500
O10 0.2563 0.4896 0.5808
O11 0.2563 0.0104 0.5808
O12 0.7437 0.4896 0.0808
Cu1 0.9131 0.7500 0.3265
Cu2 0.9131 0.2500 0.1735
Cu3 0.0869 0.2500 0.6735
Cu4 0.0869 0.7500 0.8265
Tb1 0.2550 0.2500 0.4179
Tb2 0.7450 0.2500 0.9179
Tb3 0.2550 0.7500 0.0821
Tb4 0.7450 0.7500 0.5821
```

***

Record 9
Compound: Ta2Mn2In
Source: the Alexandria database
Functional: GGA-PBE
Structure: optimized geometry

VASP energy (eV per cell): -88.1
ΔE_f (eV/atom): 0.1442
Calculated volume (A^3/atom): 16.28
Space-group type: No. 127
N(E_F) (states/eV/cell): 6.85

```
data_Ta2Mn2In
_cell_length_a 7.1242
_cell_length_b 7.1242
_cell_length_c 3.2083
_cell_angle_alpha 90.00
_cell_angle_beta 90.00
_cell_angle_gamma 90.00
_symmetry_space_group_name_H-M 'P 1'
_symmetry_Int_Tables_number 1
loop_
_symmetry_equiv_pos_as_xyz
'x,y,z'
loop_
_atom_site_label
_atom_site_fract_x
_atom_site_fract_y
_atom_site_fract_z
Mn1 0.8791 0.6209 0.0000
Mn2 0.1209 0.3791 0.0000
Mn3 0.3791 0.8791 0.0000
Mn4 0.6209 0.1209 0.0000
In1 0.5000 0.5000 0.0000
In2 0.0000 0.0000 0.0000
Ta1 0.6754 0.8246 0.5000
Ta2 0.1754 0.6754 0.5000
Ta3 0.8246 0.3246 0.5000
Ta4 0.3246 0.1754 0.5000
```

***

Record 10
Compound: ZrCl3
Source: the Alexandria database
Functional: GGA-PBE
Structure: optimized geometry

VASP energy (eV per cell): -42.1
Calculated volume (A^3/atom): 32.88
Energy relative to the elements, uncorrected (meV/atom): -1744
Space-group type: No. 193

```
data_ZrCl3
_cell_length_a 7.0706
_cell_length_b 7.0706
_cell_length_c 6.0747
_cell_angle_alpha 90.00
_cell_angle_beta 90.00
_cell_angle_gamma 120.00
_symmetry_space_group_name_H-M 'P 1'
_symmetry_Int_Tables_number 1
loop_
_symmetry_equiv_pos_as_xyz
'x,y,z'
loop_
_atom_site_label
_atom_site_fract_x
_atom_site_fract_y
_atom_site_fract_z
Zr1 0.0000 0.0000 0.0000
Zr2 0.0000 0.0000 0.5000
Cl1 0.7078 0.7078 0.2500
Cl2 0.0000 0.7078 0.7500
Cl3 0.0000 0.2922 0.2500
Cl4 0.2922 0.0000 0.2500
Cl5 0.7078 0.0000 0.7500
Cl6 0.2922 0.2922 0.7500
```

***

Record 11
Compound: RbHgPb11
Source: the Alexandria database
Functional: GGA-PBE
Structure: optimized geometry

VASP energy (eV per cell): -42.4
ΔE_f (eV/atom): -0.0254
Calculated volume (A^3/atom): 33.59
Space-group type: No. 12
N(E_F) (states/eV/cell): 4.93

```
data_RbHgPb11
_cell_length_a 6.5245
_cell_length_b 8.8260
_cell_length_c 8.7223
_cell_angle_alpha 82.52
_cell_angle_beta 68.04
_cell_angle_gamma 69.62
_symmetry_space_group_name_H-M 'P 1'
_symmetry_Int_Tables_number 1
loop_
_symmetry_equiv_pos_as_xyz
'x,y,z'
loop_
_atom_site_label
_atom_site_fract_x
_atom_site_fract_y
_atom_site_fract_z
Pb1 0.9985 0.6446 0.3565
Pb2 0.0000 0.0000 0.5000
Pb3 0.6450 0.3554 0.3565
Pb4 0.3550 0.6446 0.6435
Pb5 0.2825 0.2258 0.2203
Pb6 0.5000 0.0000 0.5000
Pb7 0.0015 0.3554 0.6435
Pb8 0.0000 0.5000 0.0000
Pb9 0.7175 0.7742 0.7797
Pb10 0.4971 0.7742 0.2203
Pb11 0.5029 0.2258 0.7797
Rb1 0.0000 0.0000 0.0000
Hg1 0.5000 0.5000 0.0000
```

***

Record 12
Compound: CeTi2Ga8
Source: the Alexandria database
Functional: GGA-PBE
Structure: optimized geometry

VASP energy (eV per cell): -47.9
ΔE_f (eV/atom): -0.1819
Calculated volume (A^3/atom): 19.42
Space-group type: No. 12
N(E_F) (states/eV/cell): 8.49

```
data_CeTi2Ga8
_cell_length_a 5.1752
_cell_length_b 6.9800
_cell_length_c 6.9800
_cell_angle_alpha 115.13
_cell_angle_beta 100.90
_cell_angle_gamma 100.90
_symmetry_space_group_name_H-M 'P 1'
_symmetry_Int_Tables_number 1
loop_
_symmetry_equiv_pos_as_xyz
'x,y,z'
loop_
_atom_site_label
_atom_site_fract_x
_atom_site_fract_y
_atom_site_fract_z
Ga1 0.7273 0.4226 0.4226
Ga2 0.5000 0.2594 0.7406
Ga3 0.1443 0.1172 0.3336
Ga4 0.1443 0.3336 0.1172
Ga5 0.8557 0.8828 0.6664
Ga6 0.5000 0.7406 0.2594
Ga7 0.2727 0.5774 0.5774
Ga8 0.8557 0.6664 0.8828
Ti1 0.0000 0.2849 0.7151
Ti2 0.0000 0.7151 0.2849
Ce1 0.5000 0.0000 0.0000
```

***

Record 13
Compound: Y2PdS
Source: the Alexandria database
Functional: GGA-PBE
Structure: optimized geometry

VASP energy (eV per cell): -56.0
Calculated volume (A^3/atom): 22.25
Energy relative to the elements, uncorrected (meV/atom): -1441
Space-group type: No. 63
N(E_F) (states/eV/cell): 4.61

```
data_Y2PdS
_cell_length_a 4.0282
_cell_length_b 3.8608
_cell_length_c 11.6051
_cell_angle_alpha 99.58
_cell_angle_beta 90.00
_cell_angle_gamma 90.00
_symmetry_space_group_name_H-M 'P 1'
_symmetry_Int_Tables_number 1
loop_
_symmetry_equiv_pos_as_xyz
'x,y,z'
loop_
_atom_site_label
_atom_site_fract_x
_atom_site_fract_y
_atom_site_fract_z
Pd1 0.7500 0.5451 0.0901
Pd2 0.2500 0.4549 0.9099
S1 0.7500 0.8077 0.6154
S2 0.2500 0.1923 0.3846
Y1 0.2500 0.0707 0.1414
Y2 0.2500 0.3122 0.6245
Y3 0.7500 0.6878 0.3755
Y4 0.7500 0.9293 0.8586
```